w | {
  "formula": "MnInSe4",
  "functional": "PBE",
  "state": "relaxed",
  "lattice_angstrom": [[0.000, 4.124, 4.124], [4.124, 0.000, 4.124], [4.124, 4.124, 0.000]],
  "species": ["Mn", "In", "Se", "Se", "Se", "Se"],
  "frac_coords": [[0.000, 0.000, 0.000], [0.250, 0.250, 0.250], [0.122, 0.626, 0.626], [0.626, 0.122, 0.626], [0.626, 0.626, 0.122], [0.626, 0.626, 0.626]],
  "total_magnetization_mub_per_cell": 5.09
}


x | {
  "formula": "MnInSe4",
  "functional": "PBE",
  "state": "relaxed",
  "lattice_angstrom": [[5.596, 0.000, 0.000], [0.000, 3.744, 0.000], [-0.984, 0.000, 6.812]],
  "species": ["Mn", "In", "Se", "Se", "Se", "Se"],
  "frac_coords": [[0.000, 0.000, 0.000], [0.000, 0.500, 0.500], [0.250, 0.500, 0.894], [0.254, 0.000, 0.328], [0.746, 0.000, 0.672], [0.750, 0.500, 0.106]],
  "total_magnetization_mub_per_cell": 2.73
}


Stability ranking, top and bottom: x is the most stable and w is the least stable.


w | {
  "formula": "MnInSe3",
  "functional": "PBE",
  "state": "relaxed",
  "lattice_angstrom": [[6.635, 0.000, 0.000], [-3.317, 5.746, 0.000], [0.000, 0.000, 6.922]],
  "species": ["Mn", "Mn", "In", "In", "Se", "Se", "Se", "Se", "Se", "Se"],
  "frac_coords": [[0.000, 0.000, 0.140], [0.000, 0.000, 0.860], [0.333, 0.667, 0.000], [0.667, 0.333, 0.000], [0.000, 0.324, 0.753], [0.000, 0.676, 0.247], [0.324, 0.000, 0.753], [0.324, 0.324, 0.247], [0.676, 0.000, 0.247], [0.676, 0.676, 0.753]],
  "total_magnetization_mub_per_cell": 0.93
}


x | {
  "formula": "MnInSe3",
  "functional": "PBE",
  "state": "relaxed",
  "lattice_angstrom": [[4.798, 0.000, 0.000], [0.000, 4.798, 0.000], [0.000, 0.000, 4.798]],
  "species": ["Mn", "In", "Se", "Se", "Se"],
  "frac_coords": [[0.000, 0.000, 0.000], [0.500, 0.500, 0.500], [0.000, 0.000, 0.500], [0.000, 0.500, 0.000], [0.500, 0.000, 0.000]],
  "total_magnetization_mub_per_cell": 0.00
}


Stability ranking, top and bottom: w is the most stable and x is the least stable.